Record 1
DFT (GGA-PBE) results for ErRePO after structural relaxation.

Geometry as extended XYZ:
```
8
Lattice="4.3007 0.0000 0.0000 0.0000 4.3007 0.0000 0.0000 0.0000 6.4436" Properties=species:S:1:pos:R:3 pbc="T T T"
Er 1.0752 3.2255 0.0000
Er 3.2255 1.0752 0.0000
Re 1.0752 1.0752 2.3759
Re 3.2255 3.2255 4.0678
P 1.0752 1.0752 4.7116
P 3.2255 3.2255 1.7320
O 1.0752 3.2255 3.2218
O 3.2255 1.0752 3.2218
```

- VASP energy (eV per atom) = -6.89
- V (Å³ per atom) = 14.9
- space-group type = P4/nmm (129)

***

Record 2
DFT (GGA-PBE) results for ErRePO after structural relaxation.

Geometry as extended XYZ:
```
8
Lattice="3.9007 0.0000 0.0000 0.0000 3.9007 0.0000 0.0000 0.0000 8.2142" Properties=species:S:1:pos:R:3 pbc="T T T"
Er 0.9752 0.9752 1.0711
Er 2.9256 2.9256 7.1430
Re 0.9752 2.9256 4.1071
Re 2.9256 0.9752 4.1071
P 0.9752 0.9752 5.5234
P 2.9256 2.9256 2.6907
O 0.9752 2.9256 0.0000
O 2.9256 0.9752 0.0000
```

- VASP energy (eV per atom) = -8.62
- V (Å³ per atom) = 15.6
- space-group type = P4/nmm (129)

***

Record 3
DFT (GGA-PBE) results for ErRePO after structural relaxation.

Geometry as extended XYZ:
```
8
Lattice="4.0383 0.0000 0.0000 0.0000 5.9882 0.0000 0.0000 0.0000 5.4697" Properties=species:S:1:pos:R:3 pbc="T T T"
Er 0.0000 0.9979 0.0000
Er 0.0000 4.9903 2.7348
Re 2.0192 2.7155 4.1054
Re 2.0192 3.2727 1.3705
P 0.0000 1.9187 2.8051
P 0.0000 4.0695 0.0702
O 2.0192 1.4735 0.3383
O 2.0192 4.5147 3.0732
```

- VASP energy (eV per atom) = -7.93
- V (Å³ per atom) = 16.5
- space-group type = Pmc2_1 (26)

***

Record 4
DFT (GGA-PBE) results for ErScPO after structural relaxation.

Geometry as extended XYZ:
```
8
Lattice="4.0993 0.0000 0.0000 0.0000 4.0993 0.0000 0.0000 0.0000 8.4427" Properties=species:S:1:pos:R:3 pbc="T T T"
Er 1.0248 1.0248 0.9659
Er 3.0745 3.0745 7.4768
Sc 1.0248 3.0745 4.2213
Sc 3.0745 1.0248 4.2213
P 1.0248 1.0248 5.7808
P 3.0745 3.0745 2.6619
O 1.0248 3.0745 0.0000
O 3.0745 1.0248 0.0000
```

- VASP energy (eV per atom) = -7.40
- V (Å³ per atom) = 17.7
- space-group type = P4/nmm (129)

***

Record 5
DFT (GGA-PBE) results for ErScPO after structural relaxation.

Geometry as extended XYZ:
```
8
Lattice="4.1000 0.0000 0.0000 0.0000 6.8678 0.0000 0.0000 0.0000 5.6680" Properties=species:S:1:pos:R:3 pbc="T T T"
Er 0.0000 1.3926 0.0000
Er 0.0000 5.4753 2.8340
Sc 2.0500 2.6489 3.3133
Sc 2.0500 4.2189 0.4792
P 0.0000 1.2932 2.7953
P 0.0000 5.5746 5.6293
O 2.0500 2.3025 5.3676
O 2.0500 4.5653 2.5336
```

- VASP energy (eV per atom) = -7.37
- V (Å³ per atom) = 20.0
- space-group type = Pmc2_1 (26)

***

Record 6
DFT (GGA-PBE) results for ErScPO after structural relaxation.

Geometry as extended XYZ:
```
8
Lattice="3.8909 0.0000 0.0000 0.0000 6.7680 0.0000 0.0000 0.0000 6.1642" Properties=species:S:1:pos:R:3 pbc="T T T"
Er 0.0000 0.7612 0.0000
Er 0.0000 6.0068 3.0821
Sc 1.9454 2.0516 2.5821
Sc 1.9454 4.7165 5.6642
P 1.9454 2.2251 5.1434
P 1.9454 4.5429 2.0613
O 0.0000 1.2798 2.1217
O 0.0000 5.4883 5.2039
```

- VASP energy (eV per atom) = -7.23
- V (Å³ per atom) = 20.3
- space-group type = Pmc2_1 (26)

***

Record 7
DFT (GGA-PBE) results for ErScPO after structural relaxation.

Geometry as extended XYZ:
```
8
Lattice="4.4228 0.0000 0.0000 0.0000 4.4228 0.0000 0.0000 0.0000 8.3942" Properties=species:S:1:pos:R:3 pbc="T T T"
Er 1.1057 3.3171 0.0000
Er 3.3171 1.1057 0.0000
Sc 1.1057 1.1057 4.0800
Sc 3.3171 3.3171 4.3142
P 1.1057 1.1057 1.5046
P 3.3171 3.3171 6.8895
O 1.1057 3.3171 4.1971
O 3.3171 1.1057 4.1971
```

- VASP energy (eV per atom) = -7.05
- V (Å³ per atom) = 20.5
- space-group type = P4/nmm (129)

***

Record 8
DFT (GGA-PBE) results for ErSiPO after structural relaxation.

Geometry as extended XYZ:
```
8
Lattice="3.6168 0.0000 0.0000 0.0000 5.8853 0.0000 0.0000 0.0000 6.7369" Properties=species:S:1:pos:R:3 pbc="T T T"
Er 0.0000 1.4578 0.0000
Er 0.0000 4.4275 3.3684
Si 1.8084 2.1723 4.0018
Si 1.8084 3.7130 0.6334
P 0.0000 1.3677 2.8093
P 0.0000 4.5176 6.1777
O 1.8084 1.3510 5.4794
O 1.8084 4.5343 2.1110
```

- VASP energy (eV per atom) = -6.60
- V (Å³ per atom) = 17.9
- space-group type = Pmc2_1 (26)

***

Record 9
DFT (GGA-PBE) results for ErSiPO after structural relaxation.

Geometry as extended XYZ:
```
8
Lattice="3.8089 0.0000 0.0000 0.0000 5.7423 0.0000 0.0000 0.0000 5.7987" Properties=species:S:1:pos:R:3 pbc="T T T"
Er 0.0000 1.3140 0.0000
Er 0.0000 4.4283 2.8993
Si 1.9045 2.1207 2.3233
Si 1.9045 3.6216 5.2226
P 1.9045 0.4820 3.9459
P 1.9045 5.2602 1.0465
O 0.0000 2.3062 2.0600
O 0.0000 3.4360 4.9594
```

- VASP energy (eV per atom) = -6.47
- V (Å³ per atom) = 15.9
- space-group type = Pmc2_1 (26)

***

Record 10
DFT (GGA-PBE) results for ErSiPO after structural relaxation.

Geometry as extended XYZ:
```
8
Lattice="5.3878 0.0000 0.0000 0.0000 5.3878 0.0000 0.0000 0.0000 4.6553" Properties=species:S:1:pos:R:3 pbc="T T T"
Er 1.3469 4.0408 0.0000
Er 4.0408 1.3469 0.0000
Si 1.3469 1.3469 2.3203
Si 4.0408 4.0408 2.3350
P 1.3469 1.3469 4.6443
P 4.0408 4.0408 0.0110
O 1.3469 4.0408 2.3276
O 4.0408 1.3469 2.3276
```

- VASP energy (eV per atom) = -6.09
- V (Å³ per atom) = 16.9
- space-group type = P4/nmm (129)

***

Record 11
DFT (GGA-PBE) results for ErSiPO after structural relaxation.

Geometry as extended XYZ:
```
8
Lattice="4.0547 0.0000 0.0000 0.0000 4.0547 0.0000 0.0000 0.0000 7.8998" Properties=species:S:1:pos:R:3 pbc="T T T"
Er 1.0137 1.0137 0.9712
Er 3.0410 3.0410 6.9286
Si 1.0137 3.0410 3.9499
Si 3.0410 1.0137 3.9499
P 1.0137 1.0137 5.1848
P 3.0410 3.0410 2.7150
O 1.0137 3.0410 0.0000
O 3.0410 1.0137 0.0000
```

- VASP energy (eV per atom) = -6.54
- V (Å³ per atom) = 16.2
- space-group type = P4/nmm (129)

***

Record 12
DFT (GGA-PBE) results for ErSnPO5 after structural relaxation.

Geometry as extended XYZ:
```
16
Lattice="5.4885 0.0000 0.0000 -0.5978 6.7039 0.0000 -2.4283 -2.6731 6.0240" Properties=species:S:1:pos:R:3 pbc="T T T"
Er 0.1713 0.0901 1.7491
Er 2.2911 3.9408 4.2750
Sn -0.4340 2.3094 5.8190
Sn 2.8964 1.7214 0.2051
P -0.3996 3.4839 2.3036
P 2.8620 0.5469 3.7204
O -1.1522 0.1338 3.5197
O -0.3054 2.2742 1.3539
O -1.6539 4.1208 5.8136
O 0.3876 4.7083 1.7568
O 0.2665 3.1145 3.6665
O 2.1960 0.9163 2.3575
O 2.0749 -0.6775 4.2672
O 4.1164 -0.0900 0.2105
O 2.7678 1.7566 4.6701
O 3.6146 3.8971 2.5044
```

- VASP energy (eV per atom) = -7.38
- V (Å³ per atom) = 13.9
- space-group type = P-1 (2)

***

Record 13
DFT (GGA-PBE) results for SrErPO after structural relaxation.

Geometry as extended XYZ:
```
8
Lattice="4.4888 0.0000 0.0000 0.0000 7.2473 0.0000 0.0000 0.0000 6.2989" Properties=species:S:1:pos:R:3 pbc="T T T"
Sr 0.0000 1.4451 0.0000
Sr 0.0000 5.8022 3.1495
Er 2.2444 2.7483 3.7052
Er 2.2444 4.4990 0.5558
P 0.0000 1.5424 3.0207
P 0.0000 5.7049 6.1702
O 2.2444 2.6058 5.8558
O 2.2444 4.6415 2.7063
```

- VASP energy (eV per atom) = -6.25
- V (Å³ per atom) = 25.6
- space-group type = Pmc2_1 (26)

***

Record 14
DFT (GGA-PBE) results for SrErPO after structural relaxation.

Geometry as extended XYZ:
```
8
Lattice="5.3828 0.0000 0.0000 0.0000 5.3828 0.0000 0.0000 0.0000 5.6854" Properties=species:S:1:pos:R:3 pbc="T T T"
Sr 1.3457 1.3457 0.0063
Sr 4.0371 4.0371 5.6791
Er 1.3457 4.0371 2.8427
Er 4.0371 1.3457 2.8427
P 1.3457 1.3457 2.8510
P 4.0371 4.0371 2.8344
O 1.3457 4.0371 0.0000
O 4.0371 1.3457 0.0000
```

- VASP energy (eV per atom) = -6.08
- V (Å³ per atom) = 20.6
- space-group type = P4/nmm (129)

***

Record 15
DFT (GGA-PBE) results for SrErPO after structural relaxation.

Geometry as extended XYZ:
```
8
Lattice="4.0056 0.0000 0.0000 0.0000 6.5740 0.0000 0.0000 0.0000 7.0347" Properties=species:S:1:pos:R:3 pbc="T T T"
Sr 0.0000 0.3363 0.0000
Sr 0.0000 6.2377 3.5174
Er 2.0028 2.5046 2.4911
Er 2.0028 4.0694 6.0084
P 2.0028 1.5399 5.0842
P 2.0028 5.0341 1.5668
O 0.0000 1.7595 1.9951
O 0.0000 4.8145 5.5125
```

- VASP energy (eV per atom) = -6.14
- V (Å³ per atom) = 23.2
- space-group type = Pmc2_1 (26)

***

Record 16
DFT (GGA-PBE) results for SrErPO after structural relaxation.

Geometry as extended XYZ:
```
4
Lattice="3.8049 0.0000 0.0000 0.0000 3.8049 0.0000 0.0000 0.0000 5.6863" Properties=species:S:1:pos:R:3 pbc="T T T"
Sr 0.0000 0.0000 0.0000
Er 1.9024 1.9024 2.8431
P 0.0000 0.0000 2.8431
O 1.9024 1.9024 0.0000
```

- VASP energy (eV per atom) = -6.08
- V (Å³ per atom) = 20.6
- space-group type = P4/mmm (123)

***

Record 17
DFT (GGA-PBE) results for SrErPO after structural relaxation.

Geometry as extended XYZ:
```
8
Lattice="4.3438 0.0000 0.0000 0.0000 4.3438 0.0000 0.0000 0.0000 8.9689" Properties=species:S:1:pos:R:3 pbc="T T T"
Sr 1.0859 3.2578 0.0000
Sr 3.2578 1.0859 0.0000
Er 1.0859 1.0859 3.7241
Er 3.2578 3.2578 5.2448
P 1.0859 1.0859 7.0124
P 3.2578 3.2578 1.9566
O 1.0859 3.2578 4.4845
O 3.2578 1.0859 4.4845
```

- VASP energy (eV per atom) = -5.81
- V (Å³ per atom) = 21.2
- space-group type = P4/nmm (129)

***

Record 18
DFT (GGA-PBE) results for ErTePO after structural relaxation.

Geometry as extended XYZ:
```
8
Lattice="3.6696 0.0000 0.0000 0.0000 7.0004 0.0000 0.0000 0.0000 7.5797" Properties=species:S:1:pos:R:3 pbc="T T T"
Er 0.0000 1.5162 0.0000
Er 0.0000 5.4842 3.7899
Te 1.8348 2.5212 4.1561
Te 1.8348 4.4792 0.3662
P 0.0000 3.0707 2.3892
P 0.0000 3.9297 6.1791
O 1.8348 0.7047 7.0858
O 1.8348 6.2957 3.2959
```

- VASP energy (eV per atom) = -5.80
- V (Å³ per atom) = 24.3
- space-group type = Pmc2_1 (26)

***

Record 19
DFT (GGA-PBE) results for ErTePO after structural relaxation.

Geometry as extended XYZ:
```
8
Lattice="5.5822 0.0000 0.0000 0.0000 5.5822 0.0000 0.0000 0.0000 5.0547" Properties=species:S:1:pos:R:3 pbc="T T T"
Er 1.3955 4.1866 0.0000
Er 4.1866 1.3955 0.0000
Te 1.3955 1.3955 2.5209
Te 4.1866 4.1866 2.5338
P 1.3955 1.3955 5.0410
P 4.1866 4.1866 0.0137
O 1.3955 4.1866 2.5274
O 4.1866 1.3955 2.5274
```

- VASP energy (eV per atom) = -5.34
- V (Å³ per atom) = 19.7
- space-group type = P4/nmm (129)

***

Record 20
DFT (GGA-PBE) results for ErTePO after structural relaxation.

Geometry as extended XYZ:
```
8
Lattice="5.2631 0.0000 0.0000 0.0000 7.1336 0.0000 0.0000 0.0000 6.0375" Properties=species:S:1:pos:R:3 pbc="T T T"
Er 0.0000 1.2370 0.0000
Er 0.0000 5.8966 3.0188
Te 2.6316 2.3330 3.4287
Te 2.6316 4.8006 0.4099
P 2.6316 2.3098 5.9545
P 2.6316 4.8238 2.9357
O 0.0000 0.3427 1.7789
O 0.0000 6.7909 4.7976
```

- VASP energy (eV per atom) = -5.80
- V (Å³ per atom) = 28.3
- space-group type = Pmc2_1 (26)